Density functional theory data (meta-GGA SCAN) for MgCuAg at its PBEsol-relaxed geometry.

a b c (Å): 3.195 3.195 5.054
angles (deg): 108.43 108.43 90.00
Fractional coordinates of all 3 atoms:
Mg  0.673  0.673  0.346
Ag  0.992  0.992  0.983
Cu  0.335  0.335  0.670

Polymorph energy (0 for the lowest one)   0 kJ/mol of formula units
Calculated volume   46.15 Å³/f.u.
Space-group type   No. 107
VASP energy   -17.27 eV/atom
Calculated formation energy   -0.086 eV/atom

Density functional theory data (meta-GGA SCAN) for MgCu2Ag at its PBEsol-relaxed geometry.

a b c (Å): 3.057 3.057 6.118
angles (deg): 90.00 90.00 90.00
Fractional coordinates of all 4 atoms:
Mg  0.000  0.000  0.480
Ag  0.500  0.500  0.773
Cu  0.000  0.000  0.026
Cu  0.500  0.500  0.221

Calculated volume   57.18 Å³/f.u.
Space-group type   No. 99
VASP energy   -16.73 eV/atom
Calculated formation energy   -0.045 eV/atom

Density functional theory data (meta-GGA SCAN) for Mg2CuAg at its PBEsol-relaxed geometry.

a b c (Å): 3.128 4.568 5.194
angles (deg): 109.48 107.52 90.00
Fractional coordinates of all 4 atoms:
Ag  0.482  0.511  0.964
Mg  0.021  0.045  0.041
Mg  0.239  0.717  0.477
Cu  0.759  0.228  0.517

Calculated volume   66.30 Å³/f.u.
Space-group type   No. 8
VASP energy   -14.28 eV/atom
Calculated formation energy   -0.148 eV/atom

Density functional theory data (meta-GGA SCAN) for MgCu2Ag at its PBEsol-relaxed geometry.

a b c (Å): 2.864 4.558 4.571
angles (deg): 107.17 90.00 90.00
Fractional coordinates of all 4 atoms:
Cu  0.500  0.000  0.500
Cu  0.000  0.000  0.000
Ag  0.000  0.500  0.500
Mg  0.500  0.500  0.000

Calculated volume   57.01 Å³/f.u.
Space-group type   No. 10
VASP energy   -16.66 eV/atom
Calculated formation energy   0.028 eV/atom